(1)
Here is a relaxed SrPmO4 crystal from the Alexandria database. Energies are from PBE.

- Calculated total energy: -6.696 eV/atom
- Theoretical density: 5.10 g cm⁻³
- Total magnetic moment: 1.03 μB per cell
- ΔE_f (raw): -1342 kJ/mol of formula units

a = 3.974 Å, b = 4.032 Å, c = 6.965 Å
α = 94.95°, β = 90.00°, γ = 119.52°
Each line ends with the local moment (μB).
Positions (direct):
Sr  0.436  0.872  0.469  0.00
Pm  0.066  0.132  0.048  0.00
O  0.669  0.338  0.809  0.36
O  0.399  0.797  0.084  0.04
O  0.096  0.193  0.370  0.06
O  0.834  0.668  0.720  0.39

***

(2)
Here is a relaxed SrLaGa crystal from the Alexandria database. Energies are from PBE.

- Energy relative to the elements: -7.844 kcal/mol of atoms
- Calculated total energy: -3.552 eV/atom
- Theoretical density: 5.22 g cm⁻³
- Total magnetic moment: 0.00 μB per cell

a = 7.240 Å, b = 5.484 Å, c = 5.484 Å
α = 120.03°, β = 90.00°, γ = 90.00°
Positions (direct):
Sr  0.651  0.654  0.813
Sr  0.151  0.654  0.813
Ga  0.396  0.320  0.147
Ga  0.896  0.987  0.480
La  0.406  0.987  0.480
La  0.906  0.321  0.146

***

(3)
Here is a relaxed CaBe2Al crystal from the Alexandria database. Energies are from PBE.

- Energy relative to the elements: 0.558 kcal/mol of atoms
- Calculated total energy: -3.275 eV/atom
- Theoretical density: 1.98 g cm⁻³
- Total magnetic moment: 0.00 μB per cell

a = 3.984 Å, b = 3.984 Å, c = 5.678 Å
α = 69.44°, β = 69.44°, γ = 60.04°
Positions (direct):
Be  0.061  0.061  0.817
Be  0.439  0.439  0.683
Ca  0.250  0.250  0.250
Al  0.750  0.750  0.750